Record 1
Compound: La4Ga2Os
Source: the Alexandria database
Functional: PBE
Structure: relaxed

```
La4Ga2Os
1.0
-0.0558 4.5257 -1.2942
-3.0368 -1.5330 -5.2298
-4.9208 0.9982 3.7031
La Ga Os
4 2 1
Direct
0.0000 0.1835 0.1835
0.5000 0.0000 0.5000
0.0000 0.8165 0.8165
0.5000 0.5000 0.0000
0.0000 0.3311 0.6689
0.0000 0.6689 0.3311
0.5000 0.5000 0.5000
```

## Properties
The energy of formation comes out at -0.245 eV per atom. As for the symmetry: Cmmm (65). As for the total energy: -5.53 eV per atom.

---

Record 2
Compound: PrCuO3
Source: the Alexandria database
Functional: PBE
Structure: relaxed

```
PrCuO3
1.0
4.0018 0.0000 0.0000
0.0000 5.4489 0.0000
0.0000 0.0000 12.7119
O Cu Pr
12 4 4
Direct
0.8723 0.5000 0.7500
0.1277 0.5000 0.2500
0.2544 0.5151 0.9167
0.2544 0.0151 0.5833
0.7456 0.9849 0.4167
0.8723 0.0000 0.7500
0.7456 0.0151 0.0833
0.7456 0.4849 0.0833
0.2544 0.4849 0.5833
0.2544 0.9849 0.9167
0.1277 0.0000 0.2500
0.7456 0.5151 0.4167
0.9046 0.2500 0.1740
0.0954 0.2500 0.6740
0.0954 0.7500 0.8260
0.9046 0.7500 0.3260
0.2577 0.7500 0.0846
0.2577 0.2500 0.4154
0.7423 0.7500 0.5846
0.7423 0.2500 0.9154
```

## Properties
As for the formation energy from raw total energies: -9.867 eV per formula unit. As for the symmetry: Pbcm (57). As for the total energy: -6.72 eV per atom.

---

Record 3
Compound: CaY
Source: the Alexandria database
Functional: PBE
Structure: relaxed

```
CaY
1.0
-3.3894 -4.7187 -0.8475
2.0753 -5.3601 1.1981
-2.0754 -2.9909 4.6065
Ca Y
2 2
Direct
0.3750 0.3750 0.3750
0.6250 0.6250 0.6250
0.8750 0.8750 0.8750
0.1250 0.1250 0.1250
```

## Properties
The energy of formation comes out at 0.152 eV per atom. As for the symmetry: Fd-3m (227). As for the total energy: -4.08 eV per atom.

---

Record 4
Compound: NdEuCdPt
Source: the Alexandria database
Functional: PBE
Structure: relaxed

```
NdEuCdPt
1.0
5.2608 0.0000 0.0000
2.6304 4.5560 0.0000
2.6304 1.5187 4.2955
Pt Eu Cd Nd
1 1 1 1
Direct
0.0000 0.0000 0.0000
0.2500 0.2500 0.2500
0.5000 0.5000 0.5000
0.7500 0.7500 0.7500
```

## Properties
The energy of formation comes out at -0.610 eV per atom. As for the symmetry: F-43m (216). As for the total energy: -6.11 eV per atom.

---

Record 5
Compound: La5PrCd2Co
Source: the Alexandria database
Functional: PBE
Structure: relaxed

```
La5PrCd2Co
1.0
-3.1583 -0.3125 -2.1168
-0.6990 -8.9998 5.8090
-7.2233 6.8632 9.7638
Co La Pr Cd
2 10 2 4
Direct
0.2396 0.4792 0.0361
0.7604 0.5208 0.5361
0.8841 0.7683 0.5368
0.2705 0.5409 0.3912
0.2703 0.5406 0.6813
0.1159 0.2317 0.0368
0.5072 0.0143 0.1699
0.7295 0.4591 0.8912
0.4928 0.9857 0.6699
0.6372 0.2744 0.5357
0.3628 0.7256 0.0357
0.7297 0.4594 0.1813
0.5075 0.0151 0.9000
0.4925 0.9849 0.4000
0.8872 0.7745 0.8108
0.1128 0.2255 0.3108
0.1129 0.2259 0.7622
0.8871 0.7741 0.2622
```

## Properties
The energy of formation comes out at -0.107 eV per atom. As for the symmetry: Cmc2_1 (36). As for the total energy: -4.37 eV per atom.

---

Record 6
Compound: FeCoSb6
Source: the Alexandria database
Functional: PBE
Structure: relaxed

```
FeCoSb6
1.0
7.4798 -0.0350 -2.6371
-3.7115 6.4955 -2.6338
-0.0169 -0.0179 7.9078
Sb Fe Co
12 2 2
Direct
0.8268 0.1602 0.6676
0.1599 0.3340 0.4939
0.5074 0.8408 0.6676
0.8401 0.6660 0.5061
0.4926 0.1592 0.3324
0.8398 0.3320 0.1718
0.3319 0.4920 0.1589
0.1732 0.8398 0.3324
0.6681 0.5080 0.8411
0.6669 0.8270 0.1589
0.3331 0.1730 0.8411
0.1602 0.6680 0.8282
0.0000 0.0000 0.5000
0.5000 0.5000 0.5000
0.0000 0.5000 0.0000
0.5000 0.0000 0.0000
```

## Properties
As for the formation energy from raw total energies: -0.829 eV per formula unit. As for the symmetry: C2/m (12). As for the total energy: -5.14 eV per atom.

---

Record 7
Compound: TlInP2Se8
Source: the Alexandria database
Functional: PBE
Structure: relaxed

```
TlInP2Se8
1.0
-0.5599 -6.1384 0.4057
4.9237 -3.6175 -0.9108
3.5249 -2.8157 9.2904
Se Tl In P
8 1 1 2
Direct
0.6797 0.0992 0.8206
0.4006 0.6797 0.8206
0.3203 0.9008 0.1794
0.1743 0.1743 0.4772
0.9008 0.5994 0.1794
0.0992 0.4006 0.8206
0.8257 0.8257 0.5228
0.5994 0.3203 0.1794
0.5000 0.5000 0.5000
0.0000 0.0000 0.0000
0.2497 0.2497 0.2508
0.7503 0.7503 0.7492
```

## Properties
As for the formation energy from raw total energies: -0.770 eV per formula unit. As for the symmetry: R-3 (148). As for the total energy: -3.71 eV per atom.

---

Record 8
Compound: Gd2PuGe
Source: the Alexandria database
Functional: PBE
Structure: relaxed

```
Gd2PuGe
1.0
-2.0809 3.9509 -0.0005
-2.9550 -1.5568 -3.3258
-2.9428 -1.5495 3.3400
Gd Pu Ge
2 1 1
Direct
0.0000 0.5000 0.0000
0.0000 0.0000 0.5000
0.5000 0.5000 0.5000
0.5000 0.0000 0.0000
```

## Properties
The energy of formation comes out at -0.264 eV per atom. As for the symmetry: P4/mmm (123). As for the total energy: -12.04 eV per atom.

---

Record 9
Compound: Eu2SiO5
Source: the Alexandria database
Functional: PBE
Structure: relaxed

```
Eu2SiO5
1.0
8.1793 -0.0246 0.0042
5.1892 6.3225 0.0042
5.1851 2.4427 9.1600
Eu O Si
8 20 4
Direct
0.4649 0.2447 0.3373
0.2447 0.4649 0.8373
0.2101 0.7127 0.4677
0.2873 0.7899 0.0323
0.7127 0.2101 0.9677
0.7899 0.2873 0.5323
0.5351 0.7553 0.6627
0.7553 0.5351 0.1627
0.5752 0.3957 0.3914
0.2713 0.1252 0.5704
0.8462 0.3971 0.6772
0.0991 0.0890 0.3585
0.8748 0.7287 0.9296
0.6029 0.1538 0.8228
0.6043 0.4248 0.1086
0.1538 0.6029 0.3228
0.9110 0.9009 0.1415
0.1252 0.2713 0.0704
0.3971 0.8462 0.1772
0.7287 0.8748 0.4296
0.5652 0.8431 0.8264
0.9009 0.9110 0.6415
0.0890 0.0991 0.8585
0.8431 0.5652 0.3264
0.4248 0.6043 0.6086
0.4348 0.1569 0.1736
0.3957 0.5752 0.8914
0.1569 0.4348 0.6736
0.7338 0.9040 0.8064
0.9040 0.7338 0.3064
0.0960 0.2662 0.6936
0.2662 0.0960 0.1936
```

## Properties
As for the formation energy from raw total energies: -22.505 eV per formula unit. As for the symmetry: C2/c (15). As for the total energy: -9.16 eV per atom.

---

Record 10
Compound: PWAu2
Source: the Alexandria database
Functional: PBE
Structure: relaxed

```
PWAu2
1.0
-3.3395 0.1886 -1.7587
0.8720 -3.0936 -1.9875
-1.8977 -2.6663 3.3175
W Au P
1 2 1
Direct
0.0000 0.0000 0.5000
0.0000 0.5000 0.0000
0.5000 0.0000 0.0000
0.5000 0.5000 0.5000
```

## Properties
The energy of formation comes out at 0.597 eV per atom. As for the symmetry: P4/mmm (123). As for the total energy: -5.63 eV per atom.

---

Record 11
Compound: SrTbEu4
Source: the Alexandria database
Functional: PBE
Structure: relaxed

```
SrTbEu4
1.0
-7.0905 -0.2912 -0.6659
-2.9158 -2.5767 -5.9718
-3.3324 -6.3000 0.0918
Eu Sr Tb
4 1 1
Direct
0.6265 0.6265 0.1205
0.6265 0.1205 0.6265
0.1205 0.6265 0.6265
0.6265 0.6265 0.6265
0.2500 0.2500 0.2500
0.0000 0.0000 0.0000
```

## Properties
The energy of formation comes out at 0.201 eV per atom. As for the symmetry: F-43m (216). As for the total energy: -7.70 eV per atom.

---

Record 12
Compound: Sc2HPd9
Source: the Alexandria database
Functional: PBE
Structure: relaxed

```
Sc2HPd9
1.0
-1.8629 1.1689 -3.3510
-3.5209 -0.1328 1.9110
1.2695 10.9001 3.0966
Pd Sc H
9 2 1
Direct
0.5000 0.5000 0.0000
0.5000 0.0000 0.8499
0.0000 0.5000 0.8499
0.5000 0.5000 0.3265
0.5000 0.0000 0.1501
0.5000 0.0000 0.5000
0.0000 0.5000 0.5000
0.5000 0.5000 0.6735
0.0000 0.5000 0.1501
0.0000 0.0000 0.3195
0.0000 0.0000 0.6805
0.0000 0.0000 0.0000
```

## Properties
As for the symmetry: P4/mmm (123). As for the total energy: -5.63 eV per atom.